Model 1:
Computed, not measured: a relaxed CdReSe2 crystal at the PBE level of DFT.

Lattice parameters (Å, degrees): 4.6846 4.6846 6.4987 109.14 109.14 39.32
With the nearest neighbours (Å) after each atom.
Fractional positions:
1 Cd 0.0000 0.0000 0.0000  4 Se 2.84-3.09, 2 Re 3.01, 2 Cd 3.15
2 Re 0.3503 0.3503 0.5835  5 Se 2.49-2.59
3 Se 0.6589 0.6589 0.6614  3 Re 2.49-2.59
4 Se 0.8068 0.8068 0.2697  2 Re 2.50

***

Model 2:
Computed, not measured: a relaxed CdReSe2 crystal at the PBE level of DFT.

Lattice parameters (Å, degrees): 2.7645 3.2143 10.1497 90.00 90.38 90.00
With the nearest neighbours (Å) after each atom.
Fractional positions:
1 Cd 0.0000 0.0000 0.0000  2 Cd 2.76
2 Re 0.0000 0.0000 0.5000  4 Se 2.52, 2 Re 2.76
3 Se 0.0038 0.5000 0.6914  2 Re 2.52, 2 Se 2.76
4 Se 0.9962 0.5000 0.3086  2 Re 2.52, 2 Se 2.76

***

Out of the structures above, which one is the least stable? Solution: model 2.